Compound: MnRuN2O
Source: Alexandria via LeMat-Bulk
Functional: PBE with a Hubbard U
Structure: optimized geometry

Computed properties:
Raw total energy   -7.30 eV per atom
Crystal system   tetragonal
Size of the total moment   4.49 μB per cell

Unit cell a=3.748 b=3.748 c=4.285 alpha=90.00 beta=90.00 gamma=90.00
Last column: magnetic moment on the atom in μB.
Atoms (fractional coordinates):
Ru  0.000  0.000  0.000  0.00
Mn  0.500  0.500  0.500  4.67
O  0.000  0.000  0.500  0.03
N  0.000  0.500  0.000  -0.16
N  0.500  0.000  0.000  -0.16